No. 1
VASP calculation (GGA-PBE) on a geometry-optimized SmEuGaSi structure.

The total moment is 7.0 μB per formula unit. Its uncorrected formation energy is -0.435 eV per atom. The calculation puts the calculated density at 6.855 g/cm3.

It has space group F-43m (No. 216), with a = 7.292 Å, b = 7.292 Å, c = 7.292 Å, α = 90.00°, β = 90.00° and γ = 90.00°. The inequivalent atoms are Sm at (0.000, 0.000, 0.000), Eu at (0.000, 0.000, 0.500), Ga at (0.250, 0.250, 0.750) and Si at (0.250, 0.250, 0.250).

No. 2
VASP calculation (GGA-PBE) on a geometry-optimized ErInAu3 structure.

Its total energy is -3.9621 eV/atom. The total moment is 0.0 μB per formula unit. The calculation puts the calculated density at 13.281 g/cm3.

It has space group P2_1/m (No. 11), with a = 4.767 Å, b = 7.436 Å, c = 6.588 Å, α = 90.00°, β = 110.81° and γ = 90.00°. The inequivalent atoms are Er at (0.138, 0.250, 0.271), In at (0.139, 0.750, 0.285), Au at (0.324, 0.507, 0.650) and Au at (0.499, 0.250, 0.989).

Question: Which of these has the highest total moment?
Answer: SmEuGaSi